The following is a DFT calculation (PBE-GGA) of a relaxed structure of K2Tl4PdAu3. Values from VASP.

```
&SYSTEM
  ibrav = 0, nat = 10, ntyp = 4
/
ATOMIC_SPECIES
K 39.10 K.upf
Tl 204.38 Tl.upf
Pd 106.42 Pd.upf
Au 196.97 Au.upf
CELL_PARAMETERS angstrom
4.8927 0.0000 0.0000
0.0000 4.8927 0.0000
0.0000 0.0000 11.9024
ATOMIC_POSITIONS crystal
K 0.0000 0.5000 0.2336
K 0.5000 0.0000 0.7664
Tl 0.0000 0.0000 0.5000
Tl 0.0000 0.5000 0.8812
Tl 0.5000 0.0000 0.1188
Tl 0.5000 0.5000 0.5000
Pd 0.5000 0.5000 0.0000
Au 0.0000 0.0000 0.0000
Au 0.0000 0.5000 0.6425
Au 0.5000 0.0000 0.3575
```

**Total moment**: 0.0 μB/cell
**Calculated formation energy**: -0.1642 eV per atom
**Raw total energy**: -2.8327 eV/atom


The following is a DFT calculation (PBE-GGA) of a relaxed structure of KTl2Pd2Au. Values from VASP.

```
&SYSTEM
  ibrav = 0, nat = 6, ntyp = 4
/
ATOMIC_SPECIES
K 39.10 K.upf
Tl 204.38 Tl.upf
Pd 106.42 Pd.upf
Au 196.97 Au.upf
CELL_PARAMETERS angstrom
5.1954 0.0000 0.0000
0.0000 5.1954 0.0000
0.0000 0.0000 6.2040
ATOMIC_POSITIONS crystal
K 0.0000 0.0000 0.0000
Tl 0.5000 0.5000 0.2588
Tl 0.5000 0.5000 0.7412
Pd 0.0000 0.5000 0.5000
Pd 0.5000 0.0000 0.5000
Au 0.0000 0.0000 0.5000
```

**Total moment**: 0.0 μB/cell
**Calculated formation energy**: -0.0377 eV per atom
**Raw total energy**: -3.2865 eV/atom


The following is a DFT calculation (PBE-GGA) of a relaxed structure of KPm4Au5. Values from VASP.

```
&SYSTEM
  ibrav = 0, nat = 10, ntyp = 3
/
ATOMIC_SPECIES
K 39.10 K.upf
Pm 145.00 Pm.upf
Au 196.97 Au.upf
CELL_PARAMETERS angstrom
3.7069 0.0000 0.0000
0.0000 3.7069 0.0000
0.0000 0.0000 19.2806
ATOMIC_POSITIONS crystal
K 0.0000 0.0000 0.0000
Pm 0.0000 0.0000 0.2104
Pm 0.0000 0.0000 0.4048
Pm 0.0000 0.0000 0.5952
Pm 0.0000 0.0000 0.7896
Au 0.5000 0.5000 0.1299
Au 0.5000 0.5000 0.3091
Au 0.5000 0.5000 0.5000
Au 0.5000 0.5000 0.6909
Au 0.5000 0.5000 0.8701
```

**Total moment**: 0.0 μB/cell
**Calculated formation energy**: -0.6835 eV per atom
**Raw total energy**: -4.3321 eV/atom


The following is a DFT calculation (PBE-GGA) of a relaxed structure of KPmAu4. Values from VASP.

```
&SYSTEM
  ibrav = 0, nat = 6, ntyp = 3
/
ATOMIC_SPECIES
K 39.10 K.upf
Pm 145.00 Pm.upf
Au 196.97 Au.upf
CELL_PARAMETERS angstrom
0.0000 4.0763 4.0763
4.0763 0.0000 4.0763
4.0763 4.0763 0.0000
ATOMIC_POSITIONS crystal
K 0.0000 0.0000 0.0000
Pm 0.2500 0.2500 0.2500
Au 0.1240 0.6253 0.6253
Au 0.6253 0.1240 0.6253
Au 0.6253 0.6253 0.1240
Au 0.6253 0.6253 0.6253
```

**Total moment**: 0.0 μB/cell
**Calculated formation energy**: -0.3243 eV per atom
**Raw total energy**: -3.4839 eV/atom


The following is a DFT calculation (PBE-GGA) of a relaxed structure of KPmAu10. Values from VASP.

```
&SYSTEM
  ibrav = 0, nat = 12, ntyp = 3
/
ATOMIC_SPECIES
K 39.10 K.upf
Pm 145.00 Pm.upf
Au 196.97 Au.upf
CELL_PARAMETERS angstrom
4.6844 0.0000 0.0000
0.0000 5.6273 0.0000
0.0000 0.0000 9.8717
ATOMIC_POSITIONS crystal
K 0.0000 0.0000 0.0000
Pm 0.0000 0.5000 0.5000
Au 0.0000 0.0000 0.3395
Au 0.0000 0.0000 0.6605
Au 0.0000 0.5000 0.1771
Au 0.0000 0.5000 0.8229
Au 0.5000 0.0000 0.5000
Au 0.5000 0.2541 0.2563
Au 0.5000 0.2541 0.7437
Au 0.5000 0.5000 0.0000
Au 0.5000 0.7459 0.2563
Au 0.5000 0.7459 0.7437
```

**Total moment**: 0.0 μB/cell
**Calculated formation energy**: -0.2982 eV per atom
**Raw total energy**: -3.5167 eV/atom


The following is a DFT calculation (PBE-GGA) of a relaxed structure of KPmAuS2. Values from VASP.

```
&SYSTEM
  ibrav = 0, nat = 10, ntyp = 4
/
ATOMIC_SPECIES
K 39.10 K.upf
Pm 145.00 Pm.upf
Au 196.97 Au.upf
S 32.06 S.upf
CELL_PARAMETERS angstrom
7.3265 0.0000 0.0000
0.0000 5.0555 0.0000
-1.4408 0.0000 7.7795
ATOMIC_POSITIONS crystal
K 0.0000 0.1483 0.2500
K 0.0000 0.8517 0.7500
Pm 0.5000 0.4913 0.7500
Pm 0.5000 0.5087 0.2500
Au 0.5000 0.0000 0.0000
Au 0.5000 0.0000 0.5000
S 0.2534 0.3251 0.9622
S 0.2534 0.6749 0.4622
S 0.7466 0.3251 0.5378
S 0.7466 0.6749 0.0378
```

**Total moment**: 0.0 μB/cell
**Formation energy (no corrections)**: -1.14 eV/atom
**Raw total energy**: -4.6178 eV/atom


The following is a DFT calculation (PBE-GGA) of a relaxed structure of KPmSbAu. Values from VASP.

```
&SYSTEM
  ibrav = 0, nat = 16, ntyp = 4
/
ATOMIC_SPECIES
K 39.10 K.upf
Pm 145.00 Pm.upf
Sb 121.76 Sb.upf
Au 196.97 Au.upf
CELL_PARAMETERS angstrom
7.7182 0.0000 0.0000
0.0000 7.7182 0.0000
0.0000 0.0000 7.7182
ATOMIC_POSITIONS crystal
K 0.0000 0.0000 0.0000
K 0.0000 0.5000 0.5000
K 0.5000 0.0000 0.5000
K 0.5000 0.5000 0.0000
Pm 0.0000 0.0000 0.5000
Pm 0.0000 0.5000 0.0000
Pm 0.5000 0.0000 0.0000
Pm 0.5000 0.5000 0.5000
Sb 0.2500 0.2500 0.2500
Sb 0.2500 0.7500 0.7500
Sb 0.7500 0.2500 0.7500
Sb 0.7500 0.7500 0.2500
Au 0.2500 0.2500 0.7500
Au 0.2500 0.7500 0.2500
Au 0.7500 0.2500 0.2500
Au 0.7500 0.7500 0.7500
```

**Total moment**: 0.0 μB/cell
**Formation energy (no corrections)**: -0.57 eV/atom
**Raw total energy**: -3.8788 eV/atom


The following is a DFT calculation (PBE-GGA) of a relaxed structure of K2PmSi3Au12. Values from VASP.

```
&SYSTEM
  ibrav = 0, nat = 18, ntyp = 4
/
ATOMIC_SPECIES
K 39.10 K.upf
Pm 145.00 Pm.upf
Si 28.09 Si.upf
Au 196.97 Au.upf
CELL_PARAMETERS angstrom
4.4908 2.5927 6.5114
-4.4908 2.5927 6.5114
0.0000 -5.1855 6.5114
ATOMIC_POSITIONS crystal
K 0.0955 0.0955 0.0955
K 0.9045 0.9045 0.9045
Pm 0.5000 0.5000 0.5000
Si 0.0000 0.5000 0.5000
Si 0.5000 0.0000 0.5000
Si 0.5000 0.5000 0.0000
Au 0.1009 0.6384 0.6384
Au 0.1889 0.1889 0.6188
Au 0.1889 0.6188 0.1889
Au 0.3616 0.3616 0.8991
Au 0.3616 0.8991 0.3616
Au 0.3812 0.8111 0.8111
Au 0.6188 0.1889 0.1889
Au 0.6384 0.1009 0.6384
Au 0.6384 0.6384 0.1009
Au 0.8111 0.3812 0.8111
Au 0.8111 0.8111 0.3812
Au 0.8991 0.3616 0.3616
```

**Total moment**: 0.0 μB/cell
**Formation energy (no corrections)**: -0.05 eV/atom
**Raw total energy**: -3.5292 eV/atom


Please write out number 8 again, unchanged.
The following is a DFT calculation (PBE-GGA) of a relaxed structure of K2PmSi3Au12. Values from VASP.

```
&SYSTEM
  ibrav = 0, nat = 18, ntyp = 4
/
ATOMIC_SPECIES
K 39.10 K.upf
Pm 145.00 Pm.upf
Si 28.09 Si.upf
Au 196.97 Au.upf
CELL_PARAMETERS angstrom
4.4908 2.5927 6.5114
-4.4908 2.5927 6.5114
0.0000 -5.1855 6.5114
ATOMIC_POSITIONS crystal
K 0.0955 0.0955 0.0955
K 0.9045 0.9045 0.9045
Pm 0.5000 0.5000 0.5000
Si 0.0000 0.5000 0.5000
Si 0.5000 0.0000 0.5000
Si 0.5000 0.5000 0.0000
Au 0.1009 0.6384 0.6384
Au 0.1889 0.1889 0.6188
Au 0.1889 0.6188 0.1889
Au 0.3616 0.3616 0.8991
Au 0.3616 0.8991 0.3616
Au 0.3812 0.8111 0.8111
Au 0.6188 0.1889 0.1889
Au 0.6384 0.1009 0.6384
Au 0.6384 0.6384 0.1009
Au 0.8111 0.3812 0.8111
Au 0.8111 0.8111 0.3812
Au 0.8991 0.3616 0.3616
```

**Total moment**: 0.0 μB/cell
**Formation energy (no corrections)**: -0.05 eV/atom
**Raw total energy**: -3.5292 eV/atom


> The highest raw total energy belongs to which entry?

K2Tl4PdAu3


> total moment of number 4 (KPmAu4)?

0.0 μB/cell